Record 1
Here is crystalline Ce7Pt2Au2 at its relaxed geometry from Alexandria. Energies are from GGA-PBE.

Results
V = 27.403 Å³ per atom
ΔE_f = -0.46 eV per atom

abc: 6.8181 6.8181 6.7615
angles: 90.00 90.00 106.46
With the nearest neighbours (Å) after each atom.
Positions (direct):
Ce  0.0000  0.0000  0.0000  2 Pt 3.16
Ce  0.0000  0.5000  0.2895  1 Ce 2.85, 2 Pt 2.86, 2 Au 3.15
Ce  0.0000  0.5000  0.7105  1 Ce 2.85, 2 Pt 2.86, 2 Au 3.15
Ce  0.5000  0.0000  0.2895  1 Ce 2.85, 2 Pt 2.86, 2 Au 3.15
Ce  0.5000  0.0000  0.7105  1 Ce 2.85, 2 Pt 2.86, 2 Au 3.15
Ce  0.5000  0.5000  0.2866  1 Ce 2.89, 2 Pt 3.01, 2 Au 3.07
Ce  0.5000  0.5000  0.7134  1 Ce 2.89, 2 Pt 3.01, 2 Au 3.07
Pt  0.2897  0.7103  0.0000  7 Ce 2.86-3.16
Pt  0.7103  0.2897  0.0000  7 Ce 2.86-3.16
Au  0.1676  0.1676  0.5000  1 Au 2.74
Au  0.8324  0.8324  0.5000  1 Au 2.74

Record 2
Here is crystalline Ce2Pt3Au2 at its relaxed geometry from Alexandria. Energies are from GGA-PBE.

Results
V = 21.403 Å³ per atom
ΔE_f = -0.70 eV per atom

abc: 6.6727 6.6727 11.9954
angles: 112.12 112.12 37.70
With the nearest neighbours (Å) after each atom.
Positions (direct):
Ce  0.0744  0.0744  0.3484  4 Pt 2.82-2.98, 4 Au 2.99-3.11
Ce  0.1584  0.1584  0.0802  1 Pt 2.71
Ce  0.8416  0.8416  0.9198  1 Pt 2.71
Ce  0.9256  0.9256  0.6516  4 Pt 2.82-2.98, 4 Au 2.99-3.11
Pt  0.1545  0.1545  0.8526  2 Ce 2.71-2.94, 3 Au 2.79-2.83, 2 Pt 2.91
Pt  0.3283  0.3283  0.4925  2 Au 2.65-2.82, 2 Ce 2.82
Pt  0.4849  0.4849  0.1132  3 Pt 2.89-2.91, 2 Au 2.99-3.03, 4 Ce 3.16-3.21
Pt  0.5151  0.5151  0.8868  3 Pt 2.89-2.91, 2 Au 2.99-3.03, 4 Ce 3.16-3.21
Pt  0.6717  0.6717  0.5075  2 Au 2.65-2.82, 2 Ce 2.82
Pt  0.8455  0.8455  0.1474  2 Ce 2.71-2.94, 3 Au 2.79-2.83, 2 Pt 2.91
Au  0.2696  0.2696  0.6962  5 Pt 2.79-3.03, 2 Au 3.01, 2 Ce 3.11
Au  0.4005  0.4005  0.3132  3 Pt 2.65-2.83
Au  0.5995  0.5995  0.6868  3 Pt 2.65-2.83
Au  0.7304  0.7304  0.3038  5 Pt 2.79-3.03, 2 Au 3.01, 2 Ce 3.11

Record 3
Here is crystalline Ce6PtAu5 at its relaxed geometry from Alexandria. Energies are from GGA-PBE.

Results
V = 24.599 Å³ per atom
ΔE_f = -0.66 eV per atom

abc: 9.0042 9.0042 5.1266
angles: 106.36 106.36 48.30
With the nearest neighbours (Å) after each atom.
Positions (direct):
Ce  0.0847  0.6024  0.3423  1 Pt 3.02, 7 Au 3.10-3.22
Ce  0.2352  0.7648  0.0000  2 Pt 3.09, 6 Au 3.22-3.37
Ce  0.3976  0.9153  0.6577  1 Pt 3.02, 7 Au 3.10-3.22
Ce  0.6024  0.0847  0.3423  1 Pt 3.02, 7 Au 3.10-3.22
Ce  0.7648  0.2352  0.0000  2 Pt 3.09, 6 Au 3.22-3.37
Ce  0.9153  0.3976  0.6577  1 Pt 3.02, 7 Au 3.10-3.22
Pt  0.0000  0.0000  0.5000  8 Ce 3.02-3.09
Au  0.1850  0.1850  0.1861  8 Ce 3.13-3.37, 2 Au 3.40-3.41
Au  0.3282  0.3282  0.8267  8 Ce 3.20-3.32, 2 Au 3.40-3.41
Au  0.5000  0.5000  0.5000  8 Ce 3.10-3.22
Au  0.6718  0.6718  0.1733  8 Ce 3.20-3.32, 2 Au 3.40-3.41
Au  0.8150  0.8150  0.8139  8 Ce 3.13-3.37, 2 Au 3.40-3.41

Record 4
Here is crystalline CePtAu2 at its relaxed geometry from Alexandria. Energies are from GGA-PBE.

Results
V = 21.117 Å³ per atom
ΔE_f = -0.70 eV per atom
Polymorph energy (0 for the lowest one) = 0.0 meV per atom

abc: 5.4047 5.4047 8.0556
angles: 90.00 90.00 134.12
With the nearest neighbours (Å) after each atom.
Positions (direct):
Ce  0.0645  0.9355  0.7500  3 Pt 2.93-2.95
Ce  0.9355  0.0645  0.2500  3 Pt 2.93-2.95
Pt  0.2317  0.7683  0.2500  6 Au 2.80-2.81, 3 Ce 2.93-2.95
Pt  0.7683  0.2317  0.7500  6 Au 2.80-2.81, 3 Ce 2.93-2.95
Au  0.3673  0.6327  0.5554  1 Au 2.79, 3 Pt 2.80-2.81
Au  0.3673  0.6327  0.9446  1 Au 2.79, 3 Pt 2.80-2.81
Au  0.6327  0.3673  0.0554  1 Au 2.79, 3 Pt 2.80-2.81
Au  0.6327  0.3673  0.4446  1 Au 2.79, 3 Pt 2.80-2.81

Record 5
Here is crystalline Ce2PtAu3 at its relaxed geometry from Alexandria. Energies are from GGA-PBE.

Results
V = 22.300 Å³ per atom
ΔE_f = -0.74 eV per atom

abc: 3.4057 4.7599 8.2535
angles: 90.00 90.00 90.00
With the nearest neighbours (Å) after each atom.
Positions (direct):
Ce  0.0000  0.0000  0.0000  2 Pt 3.10, 10 Au 3.16-3.38, 2 Ce 3.41
Ce  0.0000  0.5000  0.4658  8 Au 3.15-3.33, 4 Pt 3.19, 2 Ce 3.41
Pt  0.5000  0.0000  0.3134  3 Au 2.75-2.76
Au  0.5000  0.0000  0.6466  2 Au 2.74, 1 Pt 2.75
Au  0.5000  0.5000  0.1452  1 Au 2.75, 2 Pt 2.76
Au  0.5000  0.5000  0.8119  3 Au 2.74-2.75

Record 6
Here is crystalline Ce8PtAu2 at its relaxed geometry from Alexandria. Energies are from GGA-PBE.

Results
V = 25.337 Å³ per atom
ΔE_f = -0.37 eV per atom

abc: 9.2998 9.2998 6.6345
angles: 98.94 98.94 29.48
With the nearest neighbours (Å) after each atom.
Positions (direct):
Ce  0.0122  0.0122  0.2614  2 Pt 2.92, 3 Ce 2.92-3.27
Ce  0.2184  0.2184  0.2320  3 Ce 2.82-2.94, 2 Au 3.13
Ce  0.3390  0.3390  0.0069  3 Ce 2.82-2.94, 1 Pt 2.90, 2 Au 3.14
Ce  0.4094  0.4094  0.5524  2 Ce 2.92, 2 Au 3.04, 1 Pt 3.15
Ce  0.5906  0.5906  0.4476  2 Ce 2.92, 2 Au 3.04, 1 Pt 3.15
Ce  0.6610  0.6610  0.9931  3 Ce 2.82-2.94, 1 Pt 2.90, 2 Au 3.14
Ce  0.7816  0.7816  0.7680  3 Ce 2.82-2.94, 2 Au 3.13
Ce  0.9878  0.9878  0.7386  2 Pt 2.92, 3 Ce 2.92-3.27
Pt  0.5000  0.5000  0.0000  8 Ce 2.90-3.15
Au  0.1667  0.1667  0.6850  8 Ce 3.04-3.29
Au  0.8333  0.8333  0.3150  8 Ce 3.04-3.29

Record 7
Here is crystalline Ce4Pt3Au at its relaxed geometry from Alexandria. Energies are from GGA-PBE.

Results
V = 24.175 Å³ per atom
ΔE_f = -0.97 eV per atom

abc: 3.8599 4.5110 11.1074
angles: 90.00 90.00 90.00
With the nearest neighbours (Å) after each atom.
Positions (direct):
Ce  0.0000  0.0000  0.0000  6 Pt 2.99-3.13, 1 Au 3.15
Ce  0.0000  0.5000  0.2653  7 Pt 2.98-3.22
Ce  0.5000  0.0000  0.4854  5 Pt 2.93-3.02, 2 Au 3.21
Ce  0.5000  0.5000  0.7683  3 Pt 2.95-3.25, 4 Au 3.02
Pt  0.0000  0.5000  0.5332  7 Ce 2.98-3.25, 2 Au 3.04
Pt  0.5000  0.0000  0.2218  7 Ce 2.93-3.13, 2 Pt 3.08
Pt  0.5000  0.5000  0.0334  7 Ce 2.95-3.22, 2 Pt 3.08
Au  0.0000  0.0000  0.7164  7 Ce 3.02-3.21, 2 Pt 3.04

Record 8
Here is crystalline Ce3PtAu at its relaxed geometry from Alexandria. Energies are from GGA-PBE.

Results
V = 25.696 Å³ per atom
ΔE_f = -0.65 eV per atom
Polymorph energy (0 for the lowest one) = 0.0 meV per atom

abc: 7.3537 4.8074 14.5370
angles: 90.00 90.00 90.00
With the nearest neighbours (Å) after each atom.
Positions (direct):
Ce  0.0356  0.2500  0.1126  3 Pt 2.81-2.95, 1 Au 3.03
Ce  0.1192  0.2500  0.5099  2 Ce 2.99, 2 Pt 3.04, 1 Au 3.08
Ce  0.1715  0.7500  0.2611  1 Pt 2.74
Ce  0.3285  0.2500  0.7611  1 Pt 2.74
Ce  0.3808  0.7500  0.0099  2 Ce 2.99, 2 Pt 3.04, 1 Au 3.08
Ce  0.4644  0.7500  0.6126  3 Pt 2.81-2.95, 1 Au 3.03
Ce  0.5356  0.2500  0.3874  3 Pt 2.81-2.95, 1 Au 3.03
Ce  0.6192  0.2500  0.9901  2 Ce 2.99, 2 Pt 3.04, 1 Au 3.08
Ce  0.6715  0.7500  0.2389  1 Pt 2.74
Ce  0.8285  0.2500  0.7389  1 Pt 2.74
Ce  0.8808  0.7500  0.4901  2 Ce 2.99, 2 Pt 3.04, 1 Au 3.08
Ce  0.9644  0.7500  0.8874  3 Pt 2.81-2.95, 1 Au 3.03
Pt  0.1777  0.2500  0.9335  6 Ce 2.74-3.04
Pt  0.3223  0.7500  0.4335  6 Ce 2.74-3.04
Pt  0.6777  0.2500  0.5665  6 Ce 2.74-3.04
Pt  0.8223  0.7500  0.0665  6 Ce 2.74-3.04
Au  0.0739  0.7500  0.6783  7 Ce 3.03-3.28
Au  0.4261  0.2500  0.1783  7 Ce 3.03-3.28
Au  0.5739  0.7500  0.8217  7 Ce 3.03-3.28
Au  0.9261  0.2500  0.3217  7 Ce 3.03-3.28

Record 9
Here is crystalline Ce2Pt3Au at its relaxed geometry from Alexandria. Energies are from GGA-PBE.

Results
V = 21.015 Å³ per atom
ΔE_f = -0.93 eV per atom
Polymorph energy (0 for the lowest one) = 0.0 meV per atom

abc: 7.4531 3.8536 17.5607
angles: 90.00 90.00 90.00
With the nearest neighbours (Å) after each atom.
Positions (direct):
Ce  0.1008  0.2500  0.2081  7 Pt 2.95-3.18, 2 Au 3.24
Ce  0.1611  0.2500  0.4307  7 Pt 2.85-3.06
Ce  0.3389  0.7500  0.9307  7 Pt 2.85-3.06
Ce  0.3992  0.7500  0.7081  7 Pt 2.95-3.18, 2 Au 3.24
Ce  0.6008  0.2500  0.2919  7 Pt 2.95-3.18, 2 Au 3.24
Ce  0.6611  0.2500  0.0693  7 Pt 2.85-3.06
Ce  0.8389  0.7500  0.5693  7 Pt 2.85-3.06
Ce  0.8992  0.7500  0.7919  7 Pt 2.95-3.18, 2 Au 3.24
Pt  0.0828  0.2500  0.6561  4 Pt 2.81-2.86, 2 Ce 3.06
Pt  0.2102  0.2500  0.8067  1 Au 2.79, 2 Pt 2.81-2.85, 6 Ce 2.95-3.06
Pt  0.2182  0.7500  0.5507  3 Au 2.81-2.97, 4 Ce 2.85-3.08, 2 Pt 2.86
Pt  0.2818  0.2500  0.0507  3 Au 2.81-2.97, 4 Ce 2.85-3.08, 2 Pt 2.86
Pt  0.2898  0.7500  0.3067  1 Au 2.79, 2 Pt 2.81-2.85, 6 Ce 2.95-3.06
Pt  0.4172  0.7500  0.1561  4 Pt 2.81-2.86, 2 Ce 3.06
Pt  0.5828  0.2500  0.8439  4 Pt 2.81-2.86, 2 Ce 3.06
Pt  0.7102  0.2500  0.6933  1 Au 2.79, 2 Pt 2.81-2.85, 6 Ce 2.95-3.06
Pt  0.7182  0.7500  0.9493  3 Au 2.81-2.97, 4 Ce 2.85-3.08, 2 Pt 2.86
Pt  0.7818  0.2500  0.4493  3 Au 2.81-2.97, 4 Ce 2.85-3.08, 2 Pt 2.86
Pt  0.7898  0.7500  0.1933  1 Au 2.79, 2 Pt 2.81-2.85, 6 Ce 2.95-3.06
Pt  0.9172  0.7500  0.3439  4 Pt 2.81-2.86, 2 Ce 3.06
Au  0.0095  0.7500  0.0646  4 Pt 2.79-2.97, 2 Au 2.98
Au  0.4905  0.2500  0.5646  4 Pt 2.79-2.97, 2 Au 2.98
Au  0.5095  0.7500  0.4354  4 Pt 2.79-2.97, 2 Au 2.98
Au  0.9905  0.2500  0.9354  4 Pt 2.79-2.97, 2 Au 2.98

Record 10
Here is crystalline Ce2PtAu2 at its relaxed geometry from Alexandria. Energies are from GGA-PBE.

Results
V = 23.694 Å³ per atom
ΔE_f = -0.78 eV per atom

abc: 3.7353 7.7921 7.7921
angles: 31.49 90.00 90.00
With the nearest neighbours (Å) after each atom.
Positions (direct):
Ce  0.0000  0.0000  0.0000  4 Pt 2.94, 2 Au 3.27
Ce  0.0000  0.2481  0.2481  8 Au 3.03-3.33
Pt  0.5000  0.4441  0.4441  3 Au 2.79-2.81, 4 Ce 2.94
Au  0.5000  0.6302  0.6302  1 Pt 2.79, 1 Au 2.86
Au  0.5000  0.8211  0.8211  2 Pt 2.81, 1 Au 2.86, 4 Ce 3.03

Record 11
Here is crystalline CePt6Au at its relaxed geometry from Alexandria. Energies are from GGA-PBE.

Results
V = 17.875 Å³ per atom
ΔE_f = -0.20 eV per atom

abc: 5.2293 5.2293 5.2293
angles: 90.00 90.00 90.00
With the nearest neighbours (Å) after each atom.
Positions (direct):
Ce  0.0000  0.0000  0.0000  12 Pt 2.93
Pt  0.0000  0.2531  0.5000  2 Pt 2.58-2.65
Pt  0.0000  0.7469  0.5000  2 Pt 2.58-2.65
Pt  0.2531  0.5000  0.0000  2 Pt 2.58-2.65
Pt  0.5000  0.0000  0.2531  2 Pt 2.58-2.65
Pt  0.5000  0.0000  0.7469  2 Pt 2.58-2.65
Pt  0.7469  0.5000  0.0000  2 Pt 2.58-2.65
Au  0.5000  0.5000  0.5000  12 Pt 2.92

Record 12
Here is crystalline CePuPtAu at its relaxed geometry from Alexandria. Energies are from GGA-PBE.

Results
V = 23.348 Å³ per atom
ΔE_f = -0.68 eV per atom
Polymorph energy (0 for the lowest one) = 73.4 meV per atom

abc: 5.0926 5.0926 5.0926
angles: 60.00 60.00 60.00
With the nearest neighbours (Å) after each atom.
Positions (direct):
Ce  0.0000  0.0000  0.0000  4 Au 3.12, 4 Pt 3.12
Pu  0.5000  0.5000  0.5000  4 Pt 3.12, 4 Au 3.12
Pt  0.2500  0.2500  0.2500  4 Ce 3.12, 4 Pu 3.12
Au  0.7500  0.7500  0.7500  4 Ce 3.12, 4 Pu 3.12